A) # Be2TlPb2, relaxed, DFT PBE
# V in A^3/atom: 23.93
# Fermi-level density of states in states/eV per cell: 3.6
# Crystal system: tetragonal
data_Be2TlPb2
_space_group_name_H-M_alt 'P 1'
_space_group_IT_number 1
_space_group_name_Hall 'P 1'
_cell_length_a 8.646
_cell_length_b 8.646
_cell_length_c 3.201
_cell_angle_alpha 90.00
_cell_angle_beta 90.00
_cell_angle_gamma 90.00
loop_
_atom_site_label
_atom_site_fract_x
_atom_site_fract_y
_atom_site_fract_z
Be1 0.095 0.405 0.000
Be2 0.405 0.905 0.000
Be3 0.595 0.095 0.000
Be4 0.905 0.595 0.000
Tl1 0.000 0.000 0.500
Tl2 0.500 0.500 0.500
Pb1 0.167 0.667 0.500
Pb2 0.333 0.167 0.500
Pb3 0.667 0.833 0.500
Pb4 0.833 0.333 0.500

---

B) # Be2TlPb2, relaxed, DFT PBE
# V in A^3/atom: 23.74
# Fermi-level density of states in states/eV per cell: 1.9
# Crystal system: tetragonal
data_Be2TlPb2
_space_group_name_H-M_alt 'P 1'
_space_group_IT_number 1
_space_group_name_Hall 'P 1'
_cell_length_a 7.042
_cell_length_b 7.042
_cell_length_c 7.042
_cell_angle_alpha 144.22
_cell_angle_beta 144.22
_cell_angle_gamma 51.50
loop_
_atom_site_label
_atom_site_fract_x
_atom_site_fract_y
_atom_site_fract_z
Be1 0.250 0.750 0.500
Be2 0.750 0.250 0.500
Tl1 0.000 0.000 0.000
Pb1 0.367 0.367 0.000
Pb2 0.633 0.633 0.000

---

How far above the most stable structure does each one sit? In meV per atom: A) 134; B) 0.

---

A) # Be3PbW, relaxed, DFT PBE
# V in A^3/atom: 18.24
# Fermi-level density of states in states/eV per cell: 3.0
# Crystal system: cubic
data_Be3PbW
_space_group_name_H-M_alt 'P 1'
_space_group_IT_number 1
_space_group_name_Hall 'P 1'
_cell_length_a 4.501
_cell_length_b 4.501
_cell_length_c 4.501
_cell_angle_alpha 90.00
_cell_angle_beta 90.00
_cell_angle_gamma 90.00
loop_
_atom_site_label
_atom_site_fract_x
_atom_site_fract_y
_atom_site_fract_z
Be1 0.000 0.000 0.500
Be2 0.000 0.500 0.000
Be3 0.500 0.000 0.000
Pb1 0.500 0.500 0.500
W1 0.000 0.000 0.000

---

B) # Be3PbW, relaxed, DFT PBE
# V in A^3/atom: 18.02
# Fermi-level density of states in states/eV per cell: 4.0
# Crystal system: cubic
data_Be3PbW
_space_group_name_H-M_alt 'P 1'
_space_group_IT_number 1
_space_group_name_Hall 'P 1'
_cell_length_a 4.483
_cell_length_b 4.483
_cell_length_c 4.483
_cell_angle_alpha 90.00
_cell_angle_beta 90.00
_cell_angle_gamma 90.00
loop_
_atom_site_label
_atom_site_fract_x
_atom_site_fract_y
_atom_site_fract_z
Be1 0.000 0.000 0.500
Be2 0.000 0.500 0.000
Be3 0.500 0.000 0.000
Pb1 0.000 0.000 0.000
W1 0.500 0.500 0.500

---

How far above the most stable structure does each one sit? In meV per atom: A) 0; B) 907.

---

A) # BePbW2, relaxed, DFT PBE
# V in A^3/atom: 16.55
# Fermi-level density of states in states/eV per cell: 2.7
# Crystal system: orthorhombic
data_BePbW2
_space_group_name_H-M_alt 'P 1'
_space_group_IT_number 1
_space_group_name_Hall 'P 1'
_cell_length_a 5.110
_cell_length_b 5.110
_cell_length_c 5.110
_cell_angle_alpha 140.88
_cell_angle_beta 126.93
_cell_angle_gamma 67.87
loop_
_atom_site_label
_atom_site_fract_x
_atom_site_fract_y
_atom_site_fract_z
Be1 0.000 0.000 0.000
Pb1 0.252 0.752 0.500
W1 0.529 0.529 0.000
W2 0.771 0.271 0.500

---

B) # BePbW2, relaxed, DFT PBE
# V in A^3/atom: 16.91
# Fermi-level density of states in states/eV per cell: 3.2
# Crystal system: trigonal
data_BePbW2
_space_group_name_H-M_alt 'P 1'
_space_group_IT_number 1
_space_group_name_Hall 'P 1'
_cell_length_a 9.151
_cell_length_b 9.151
_cell_length_c 9.151
_cell_angle_alpha 18.53
_cell_angle_beta 18.53
_cell_angle_gamma 18.53
loop_
_atom_site_label
_atom_site_fract_x
_atom_site_fract_y
_atom_site_fract_z
Be1 0.000 0.000 0.000
Pb1 0.500 0.500 0.500
W1 0.262 0.262 0.262
W2 0.738 0.738 0.738

---

C) # BePbW2, relaxed, DFT PBE
# V in A^3/atom: 18.40
# Fermi-level density of states in states/eV per cell: 1.5
# Crystal system: orthorhombic
data_BePbW2
_space_group_name_H-M_alt 'P 1'
_space_group_IT_number 1
_space_group_name_Hall 'P 1'
_cell_length_a 2.872
_cell_length_b 2.872
_cell_length_c 9.398
_cell_angle_alpha 90.00
_cell_angle_beta 90.00
_cell_angle_gamma 108.37
loop_
_atom_site_label
_atom_site_fract_x
_atom_site_fract_y
_atom_site_fract_z
Be1 0.000 0.000 0.000
Pb1 0.500 0.500 0.678
W1 0.000 0.000 0.406
W2 0.500 0.500 0.179

---

D) # BePbW2, relaxed, DFT PBE
# V in A^3/atom: 17.09
# Fermi-level density of states in states/eV per cell: 2.2
# Crystal system: tetragonal
data_BePbW2
_space_group_name_H-M_alt 'P 1'
_space_group_IT_number 1
_space_group_name_Hall 'P 1'
_cell_length_a 3.229
_cell_length_b 3.229
_cell_length_c 6.555
_cell_angle_alpha 90.00
_cell_angle_beta 90.00
_cell_angle_gamma 90.00
loop_
_atom_site_label
_atom_site_fract_x
_atom_site_fract_y
_atom_site_fract_z
Be1 0.000 0.000 0.000
Pb1 0.500 0.500 0.311
W1 0.000 0.000 0.627
W2 0.500 0.500 0.847

---

How far above the most stable structure does each one sit? In meV per atom: A) 394; B) 534; C) 236; D) 0.